1.
The following is a DFT calculation (PBEsol) of a geometry-optimized GaSiIr3 structure.

```
data_GaSiIr3
_chemical_formula_sum 'Ga1 Si1 Ir3'
_symmetry_space_group_name_H-M 'P m -3 m'
_symmetry_Int_Tables_number 221
_symmetry_space_group_name_Hall '-P 4 2 3'
_cell_length_a 4.371
_cell_length_b 4.371
_cell_length_c 4.371
_cell_angle_alpha 90.00
_cell_angle_beta 90.00
_cell_angle_gamma 90.00
loop_
_atom_site_label
_atom_site_fract_x
_atom_site_fract_y
_atom_site_fract_z
Ga1 0.000 0.000 0.000
Si1 0.500 0.500 0.500
Ir1 0.000 0.500 0.500
```

Its formation energy from raw total energies is 701 meV/atom.


2.
The following is a DFT calculation (PBEsol) of a geometry-optimized SrGaIr structure.

```
data_SrGaIr
_chemical_formula_sum 'Sr2 Ga2 Ir2'
_symmetry_space_group_name_H-M 'P 4/n m m'
_symmetry_Int_Tables_number 129
_cell_length_a 4.338
_cell_length_b 4.338
_cell_length_c 7.375
_cell_angle_alpha 90.00
_cell_angle_beta 90.00
_cell_angle_gamma 90.00
loop_
_symmetry_equiv_pos_as_xyz
'x,y,z'
'-x,-y,-z'
'-y+1/2,x,z'
'y+1/2,-x,-z'
'-x+1/2,-y+1/2,z'
'x+1/2,y+1/2,-z'
'y,-x+1/2,z'
'-y,x+1/2,-z'
'x+1/2,-y,-z'
'-x+1/2,y,z'
'-y,-x,-z'
'y,x,z'
'-x,y+1/2,-z'
'x,-y+1/2,z'
'y+1/2,x+1/2,-z'
'-y+1/2,-x+1/2,z'
loop_
_atom_site_label
_atom_site_fract_x
_atom_site_fract_y
_atom_site_fract_z
Sr1 0.250 0.250 0.191
Ga1 0.250 0.250 0.672
Ir1 0.250 0.750 0.500
```

As for the energy of formation from the pure elements: -515 meV per atom.


3.
The following is a DFT calculation (PBEsol) of a geometry-optimized TiGaIr3 structure.

```
data_TiGaIr3
_chemical_formula_sum 'Ti1 Ga1 Ir3'
_symmetry_space_group_name_H-M 'P m -3 m'
_symmetry_Int_Tables_number 221
_symmetry_space_group_name_Hall '-P 4 2 3'
_cell_length_a 4.523
_cell_length_b 4.523
_cell_length_c 4.523
_cell_angle_alpha 90.00
_cell_angle_beta 90.00
_cell_angle_gamma 90.00
loop_
_atom_site_label
_atom_site_fract_x
_atom_site_fract_y
_atom_site_fract_z
Ti1 0.000 0.000 0.000
Ga1 0.500 0.500 0.500
Ir1 0.000 0.000 0.500
```

As for the energy of formation from the pure elements: 1220 meV per atom.


4.
The following is a DFT calculation (PBEsol) of a geometry-optimized Ti6Ga16Ir7 structure.

```
data_Ti6Ga16Ir7
_chemical_formula_sum 'Ti24 Ga64 Ir28'
_symmetry_space_group_name_H-M 'F m -3 m'
_symmetry_Int_Tables_number 225
_symmetry_space_group_name_Hall '-F 4 2 3'
_cell_length_a 12.072
_cell_length_b 12.072
_cell_length_c 12.072
_cell_angle_alpha 90.00
_cell_angle_beta 90.00
_cell_angle_gamma 90.00
loop_
_atom_site_label
_atom_site_fract_x
_atom_site_fract_y
_atom_site_fract_z
Ti1 0.000 0.000 0.191
Ga1 0.123 0.123 0.377
Ga2 0.150 0.150 0.150
Ir1 0.000 0.000 0.500
Ir2 0.000 0.250 0.250
```

As for the energy of formation from the pure elements: -529 meV per atom.


5.
The following is a DFT calculation (PBEsol) of a geometry-optimized TlGaIr3 structure.

```
data_TlGaIr3
_chemical_formula_sum 'Tl1 Ga1 Ir3'
_symmetry_space_group_name_H-M 'P m -3 m'
_symmetry_Int_Tables_number 221
_symmetry_space_group_name_Hall '-P 4 2 3'
_cell_length_a 4.524
_cell_length_b 4.524
_cell_length_c 4.524
_cell_angle_alpha 90.00
_cell_angle_beta 90.00
_cell_angle_gamma 90.00
loop_
_atom_site_label
_atom_site_fract_x
_atom_site_fract_y
_atom_site_fract_z
Tl1 0.000 0.000 0.000
Ga1 0.500 0.500 0.500
Ir1 0.000 0.500 0.500
```

As for the energy of formation from the pure elements: 1171 meV per atom.


6.
The following is a DFT calculation (PBEsol) of a geometry-optimized UGa5Ir structure.

```
data_UGa5Ir
_chemical_formula_sum 'U1 Ga5 Ir1'
_symmetry_space_group_name_H-M 'P 4/m m m'
_symmetry_Int_Tables_number 123
_symmetry_space_group_name_Hall '-P 4 2'
_cell_length_a 4.280
_cell_length_b 4.280
_cell_length_c 6.639
_cell_angle_alpha 90.00
_cell_angle_beta 90.00
_cell_angle_gamma 90.00
loop_
_atom_site_label
_atom_site_fract_x
_atom_site_fract_y
_atom_site_fract_z
U1 0.000 0.000 0.000
Ga1 0.000 0.500 0.296
Ga2 0.500 0.500 0.000
Ir1 0.000 0.000 0.500
```

As for the energy of formation from the pure elements: -435 meV per atom.


7.
The following is a DFT calculation (PBEsol) of a geometry-optimized YGa2Ir2 structure.

```
data_YGa2Ir2
_chemical_formula_sum 'Y2 Ga4 Ir4'
_symmetry_space_group_name_H-M 'I 4/m m m'
_symmetry_Int_Tables_number 139
_symmetry_space_group_name_Hall '-I 4 2'
_cell_length_a 3.961
_cell_length_b 3.961
_cell_length_c 11.324
_cell_angle_alpha 90.00
_cell_angle_beta 90.00
_cell_angle_gamma 90.00
loop_
_atom_site_label
_atom_site_fract_x
_atom_site_fract_y
_atom_site_fract_z
Y1 0.000 0.000 0.000
Ga1 0.000 0.500 0.250
Ir1 0.000 0.000 0.388
```

As for the energy of formation from the pure elements: -641 meV per atom.


8.
The following is a DFT calculation (PBEsol) of a geometry-optimized YZn2GaIr structure.

```
data_YZn2GaIr
_chemical_formula_sum 'Y1 Zn2 Ga1 Ir1'
_symmetry_space_group_name_H-M 'P 4/m m m'
_symmetry_Int_Tables_number 123
_symmetry_space_group_name_Hall '-P 4 2'
_cell_length_a 5.378
_cell_length_b 5.378
_cell_length_c 4.941
_cell_angle_alpha 90.00
_cell_angle_beta 90.00
_cell_angle_gamma 90.00
loop_
_atom_site_label
_atom_site_fract_x
_atom_site_fract_y
_atom_site_fract_z
Y1 0.000 0.000 0.000
Zn1 0.000 0.500 0.000
Ga1 0.500 0.500 0.500
Ir1 0.000 0.000 0.500
```

As for the energy of formation from the pure elements: 1190 meV per atom.


9.
The following is a DFT calculation (PBEsol) of a geometry-optimized Zr2ZnGaIr structure.

```
data_Zr2ZnGaIr
_chemical_formula_sum 'Zr2 Zn1 Ga1 Ir1'
_symmetry_space_group_name_H-M 'P 4/m m m'
_symmetry_Int_Tables_number 123
_symmetry_space_group_name_Hall '-P 4 2'
_cell_length_a 4.810
_cell_length_b 4.810
_cell_length_c 4.471
_cell_angle_alpha 90.00
_cell_angle_beta 90.00
_cell_angle_gamma 90.00
loop_
_atom_site_label
_atom_site_fract_x
_atom_site_fract_y
_atom_site_fract_z
Zr1 0.000 0.500 0.000
Zn1 0.000 0.000 0.000
Ga1 0.500 0.500 0.500
Ir1 0.000 0.000 0.500
```

As for the energy of formation from the pure elements: 550 meV per atom.


10.
The following is a DFT calculation (PBEsol) of a geometry-optimized Zr6Ga16Ir7 structure.

```
data_Zr6Ga16Ir7
_chemical_formula_sum 'Zr24 Ga64 Ir28'
_symmetry_space_group_name_H-M 'F m -3 m'
_symmetry_Int_Tables_number 225
_symmetry_space_group_name_Hall '-F 4 2 3'
_cell_length_a 12.275
_cell_length_b 12.275
_cell_length_c 12.275
_cell_angle_alpha 90.00
_cell_angle_beta 90.00
_cell_angle_gamma 90.00
loop_
_atom_site_label
_atom_site_fract_x
_atom_site_fract_y
_atom_site_fract_z
Zr1 0.000 0.000 0.196
Ga1 0.122 0.122 0.378
Ga2 0.155 0.155 0.155
Ir1 0.000 0.000 0.500
Ir2 0.000 0.250 0.250
```

As for the energy of formation from the pure elements: -651 meV per atom.


11.
The following is a DFT calculation (PBEsol) of a geometry-optimized ZrGa4Ir structure.

```
data_ZrGa4Ir
_chemical_formula_sum 'Zr4 Ga16 Ir4'
_symmetry_space_group_name_H-M 'C m c m'
_symmetry_Int_Tables_number 63
_symmetry_space_group_name_Hall '-C 2c 2'
_cell_length_a 4.114
_cell_length_b 14.883
_cell_length_c 6.508
_cell_angle_alpha 90.00
_cell_angle_beta 90.00
_cell_angle_gamma 90.00
loop_
_atom_site_label
_atom_site_fract_x
_atom_site_fract_y
_atom_site_fract_z
Zr1 0.000 0.129 0.250
Ga1 0.000 0.054 0.750
Ga2 0.000 0.324 0.045
Ga3 0.000 0.500 0.000
Ir1 0.000 0.218 0.750
```

As for the energy of formation from the pure elements: -484 meV per atom.


12.
The following is a DFT calculation (PBEsol) of a geometry-optimized Zr2GaIr2 structure.

```
data_Zr2GaIr2
_chemical_formula_sum 'Zr4 Ga2 Ir4'
_symmetry_space_group_name_H-M 'I m m m'
_symmetry_Int_Tables_number 71
_symmetry_space_group_name_Hall '-I 2 2'
_cell_length_a 4.140
_cell_length_b 5.527
_cell_length_c 7.722
_cell_angle_alpha 90.00
_cell_angle_beta 90.00
_cell_angle_gamma 90.00
loop_
_atom_site_label
_atom_site_fract_x
_atom_site_fract_y
_atom_site_fract_z
Zr1 0.000 0.000 0.198
Ga1 0.000 0.500 0.000
Ir1 0.000 0.262 0.500
```

As for the energy of formation from the pure elements: -795 meV per atom.